Record 1
Computed, not measured: an optimized crystal structure of Pr4Ho7Er at the PBE level of DFT.

Output
The value obtained for the density of states at the Fermi level is 18.60 states/eV per cell. The calculated formation energy comes out at 0.09 eV per atom. The space group is P-1, No. 2. As for the energy above the most stable polymorph in this dataset: 0 meV/atom. As for the crystal system: triclinic. The calculation puts the total magnetization at 0.0 Bohr magnetons per cell.

Structure (POSCAR):
```
Pr4Ho7Er
1.0
6.571 0.000 0.000
0.985 6.790 0.000
2.003 0.528 8.858
Pr Ho Er
4 7 1
direct
0.140 0.310 0.285
0.336 0.885 0.694
0.664 0.115 0.306
0.860 0.690 0.715
0.010 0.253 0.952
0.180 0.801 0.357
0.315 0.394 0.620
0.500 0.000 0.000
0.685 0.606 0.380
0.820 0.199 0.643
0.990 0.747 0.048
0.500 0.500 0.000
```


Record 2
Computed, not measured: an optimized crystal structure of Pr3Ho4Er4 at the PBE level of DFT.

Output
The value obtained for the density of states at the Fermi level is 14.00 states/eV per cell. The calculated formation energy comes out at 0.02 eV per atom. The space group is P-1, No. 2. As for the energy above the most stable polymorph in this dataset: 0 meV/atom. As for the crystal system: triclinic. The calculation puts the total magnetization at 0.0 Bohr magnetons per cell.

Structure (POSCAR):
```
Pr3Ho4Er4
1.0
3.575 0.000 0.000
0.000 5.031 0.000
-1.777 -2.511 19.654
Pr Ho Er
3 4 4
direct
0.000 0.000 0.000
0.363 0.363 0.726
0.637 0.637 0.274
0.182 0.183 0.367
0.454 0.454 0.907
0.546 0.546 0.093
0.818 0.817 0.633
0.092 0.090 0.182
0.272 0.272 0.544
0.728 0.728 0.456
0.908 0.910 0.818
```


- What is the formula in the second record?
  Pr3Ho4Er4


- Number 2 is which compound?
  Pr3Ho4Er4